# CaReSe | the Alexandria database | SCAN | PBEsol geometry
# DOS at the Fermi energy (states/eV/atom): 1.033
# Energy (eV/atom): -33.493
# Spin magnetization (μB/atom): 0.000
data_CaReSe
_cell_length_a 4.2567
_cell_length_b 4.2567
_cell_length_c 3.7726
_cell_angle_alpha 90.00
_cell_angle_beta 90.00
_cell_angle_gamma 120.00
_symmetry_space_group_name_H-M 'P -6 m 2'
_symmetry_Int_Tables_number 187
_symmetry_space_group_name_Hall 'P -6 2'
loop_
_atom_site_label
_atom_site_type_symbol
_atom_site_fract_x
_atom_site_fract_y
_atom_site_fract_z
Ca1 Ca 0.0000 0.0000 0.0000
Re1 Re 0.3333 0.6667 0.5000
Se1 Se 0.6667 0.3333 0.5000

=====

# SrCaReSe2 | the Alexandria database | SCAN | PBEsol geometry
# DOS at the Fermi energy (states/eV/atom): 0.732
# Energy (eV/atom): -28.434
# Spin magnetization (μB/atom): 0.287
data_SrCaReSe2
_cell_length_a 4.9318
_cell_length_b 4.9318
_cell_length_c 5.6123
_cell_angle_alpha 90.00
_cell_angle_beta 90.00
_cell_angle_gamma 90.00
_symmetry_space_group_name_H-M 'P 4/m m m'
_symmetry_Int_Tables_number 123
_symmetry_space_group_name_Hall '-P 4 2'
loop_
_atom_site_label
_atom_site_type_symbol
_atom_site_fract_x
_atom_site_fract_y
_atom_site_fract_z
Sr1 Sr 0.0000 0.0000 0.0000
Ca1 Ca 0.5000 0.5000 0.0000
Re1 Re 0.0000 0.0000 0.5000
Se1 Se 0.0000 0.5000 0.5000

=====

# SrCaRe | the Alexandria database | SCAN | PBEsol geometry
# DOS at the Fermi energy (states/eV/atom): 1.050
# Spin magnetization (μB/atom): 0.814
# Formation energy (meV per atom): 1314.9
data_SrCaRe
_cell_length_a 7.1377
_cell_length_b 7.1377
_cell_length_c 7.1377
_cell_angle_alpha 90.00
_cell_angle_beta 90.00
_cell_angle_gamma 90.00
_symmetry_space_group_name_H-M 'F -4 3 m'
_symmetry_Int_Tables_number 216
_symmetry_space_group_name_Hall 'F -4 2 3'
loop_
_atom_site_label
_atom_site_type_symbol
_atom_site_fract_x
_atom_site_fract_y
_atom_site_fract_z
Sr1 Sr 0.0000 0.0000 0.0000
Ca1 Ca 0.0000 0.0000 0.5000
Re1 Re 0.2500 0.2500 0.2500

=====

# SrCa3Re | the Alexandria database | SCAN | PBEsol geometry
# DOS at the Fermi energy (states/eV/atom): 0.540
# Spin magnetization (μB/atom): 0.342
# Formation energy (meV per atom): 554.4
data_SrCa3Re
_cell_length_a 5.6336
_cell_length_b 5.6336
_cell_length_c 5.6336
_cell_angle_alpha 90.00
_cell_angle_beta 90.00
_cell_angle_gamma 90.00
_symmetry_space_group_name_H-M 'P m -3 m'
_symmetry_Int_Tables_number 221
_symmetry_space_group_name_Hall '-P 4 2 3'
loop_
_atom_site_label
_atom_site_type_symbol
_atom_site_fract_x
_atom_site_fract_y
_atom_site_fract_z
Sr1 Sr 0.0000 0.0000 0.0000
Ca1 Ca 0.0000 0.5000 0.5000
Re1 Re 0.5000 0.5000 0.5000

=====

# Sr3CaRe | the Alexandria database | SCAN | PBEsol geometry
# DOS at the Fermi energy (states/eV/atom): 0.658
# Spin magnetization (μB/atom): 0.192
# Formation energy (meV per atom): 1932.2
data_Sr3CaRe
_cell_length_a 6.1517
_cell_length_b 6.1517
_cell_length_c 6.1517
_cell_angle_alpha 90.00
_cell_angle_beta 90.00
_cell_angle_gamma 90.00
_symmetry_space_group_name_H-M 'P m -3 m'
_symmetry_Int_Tables_number 221
_symmetry_space_group_name_Hall '-P 4 2 3'
loop_
_atom_site_label
_atom_site_type_symbol
_atom_site_fract_x
_atom_site_fract_y
_atom_site_fract_z
Sr1 Sr 0.0000 0.0000 0.5000
Ca1 Ca 0.0000 0.0000 0.0000
Re1 Re 0.5000 0.5000 0.5000

=====

# CaTaRe2 | the Alexandria database | SCAN | PBEsol geometry
# DOS at the Fermi energy (states/eV/atom): 0.950
# Spin magnetization (μB/atom): 0.000
# Formation energy (meV per atom): 516.7
data_CaTaRe2
_cell_length_a 3.0283
_cell_length_b 3.0283
_cell_length_c 27.0473
_cell_angle_alpha 90.00
_cell_angle_beta 90.00
_cell_angle_gamma 120.00
_symmetry_space_group_name_H-M 'R -3 m'
_symmetry_Int_Tables_number 166
_symmetry_space_group_name_Hall '-R 3 2"'
loop_
_atom_site_label
_atom_site_type_symbol
_atom_site_fract_x
_atom_site_fract_y
_atom_site_fract_z
Ca1 Ca 0.0000 0.0000 0.0000
Ta1 Ta 0.0000 0.0000 0.5000
Re1 Re 0.0000 0.0000 0.2404

=====

# CaTaRe2 | the Alexandria database | SCAN | PBEsol geometry
# DOS at the Fermi energy (states/eV/atom): 0.794
# Spin magnetization (μB/atom): 0.000
# Formation energy (meV per atom): 512.5
data_CaTaRe2
_cell_length_a 5.8017
_cell_length_b 9.1185
_cell_length_c 2.6863
_cell_angle_alpha 90.00
_cell_angle_beta 108.48
_cell_angle_gamma 90.00
_symmetry_space_group_name_H-M 'C 1 2/m 1'
_symmetry_Int_Tables_number 12
_symmetry_space_group_name_Hall '-C 2y'
loop_
_atom_site_label
_atom_site_type_symbol
_atom_site_fract_x
_atom_site_fract_y
_atom_site_fract_z
Ca1 Ca 0.0000 0.0000 0.0000
Ta1 Ta 0.0000 0.5000 0.0000
Re1 Re 0.2500 0.2500 0.5000

=====

# CaTaRe2 | the Alexandria database | SCAN | PBEsol geometry
# DOS at the Fermi energy (states/eV/atom): 0.835
# Spin magnetization (μB/atom): 0.000
# Formation energy (meV per atom): 569.9
data_CaTaRe2
_cell_length_a 3.1291
_cell_length_b 4.8081
_cell_length_c 9.1031
_cell_angle_alpha 90.00
_cell_angle_beta 90.00
_cell_angle_gamma 90.00
_symmetry_space_group_name_H-M 'I m m m'
_symmetry_Int_Tables_number 71
_symmetry_space_group_name_Hall '-I 2 2'
loop_
_atom_site_label
_atom_site_type_symbol
_atom_site_fract_x
_atom_site_fract_y
_atom_site_fract_z
Ca1 Ca 0.0000 0.0000 0.0000
Ta1 Ta 0.0000 0.0000 0.5000
Re1 Re 0.0000 0.5000 0.2354